Record 1
VASP calculation (PBE) on an optimized crystal structure of Y2TeRhC.

Cell: 5.1303 5.1303 3.9357 Å, 90.00 90.00 90.00°
Atoms (fractional coordinates):
Y 0.0000 0.5000 0.0000
Y 0.5000 0.0000 0.0000
Te 0.0000 0.0000 0.5000
Rh 0.5000 0.5000 0.5000
C 0.5000 0.5000 0.0000

Its total moment is 0.000 μB/atom. Its energy relative to the elements, uncorrected is -0.68 eV/atom.

Record 2
VASP calculation (PBE) on an optimized crystal structure of ScPb3.

Cell: 6.6020 6.6020 5.9444 Å, 90.00 90.00 120.00°
Atoms (fractional coordinates):
Sc 0.3333 0.6667 0.2500
Sc 0.6667 0.3333 0.7500
Pb 0.1689 0.3379 0.7500
Pb 0.1689 0.8311 0.7500
Pb 0.3379 0.1689 0.2500
Pb 0.6621 0.8311 0.7500
Pb 0.8311 0.1689 0.2500
Pb 0.8311 0.6621 0.2500

Its total moment is 0.000 μB/atom. Its formation enthalpy at 0 K is -0.115 eV per atom.

Record 3
VASP calculation (PBE) on an optimized crystal structure of CdOsS3.

Cell: 4.6664 4.6664 4.6664 Å, 90.00 90.00 90.00°
Atoms (fractional coordinates):
Cd 0.0000 0.0000 0.0000
Os 0.5000 0.5000 0.5000
S 0.0000 0.5000 0.5000
S 0.5000 0.0000 0.5000
S 0.5000 0.5000 0.0000

Its total moment is 0.000 μB/atom. The value obtained for the energy relative to the lowest polymorph listed for this composition is 0.000 eV/atom. Its energy relative to the elements, uncorrected is 0.41 eV/atom.

Record 4
VASP calculation (PBE) on an optimized crystal structure of MnAs2AuSe.

Cell: 4.6125 4.6125 4.8031 Å, 90.00 90.00 90.00°
Atoms (fractional coordinates):
Mn 0.0000 0.0000 0.0000
As 0.0000 0.5000 0.0000
As 0.5000 0.0000 0.0000
Au 0.5000 0.5000 0.5000
Se 0.0000 0.0000 0.5000

Its total moment is 0.369 μB/atom. The value obtained for the energy relative to the lowest polymorph listed for this composition is 0.000 eV/atom. Its energy relative to the elements, uncorrected is 0.44 eV/atom.

Record 5
VASP calculation (PBE) on an optimized crystal structure of Tb2Tl3Cl9.

Cell: 9.6912 9.6912 9.6912 Å, 85.14 85.14 85.14°
Atoms (fractional coordinates):
Tb 0.1438 0.1438 0.1438
Tb 0.3562 0.3562 0.3562
Tb 0.6438 0.6438 0.6438
Tb 0.8562 0.8562 0.8562
Tl 0.0496 0.7500 0.4504
Tl 0.2500 0.5496 0.9504
Tl 0.4504 0.0496 0.7500
Tl 0.5496 0.9504 0.2500
Tl 0.7500 0.4504 0.0496
Tl 0.9504 0.2500 0.5496
Cl 0.0609 0.2778 0.9209
Cl 0.0791 0.9391 0.7222
Cl 0.0984 0.4016 0.2500
Cl 0.2222 0.4391 0.5791
Cl 0.2500 0.0984 0.4016
Cl 0.2778 0.9209 0.0609
Cl 0.4016 0.2500 0.0984
Cl 0.4209 0.7778 0.5609
Cl 0.4391 0.5791 0.2222
Cl 0.5609 0.4209 0.7778
Cl 0.5791 0.2222 0.4391
Cl 0.5984 0.7500 0.9016
Cl 0.7222 0.0791 0.9391
Cl 0.7500 0.9016 0.5984
Cl 0.7778 0.5609 0.4209
Cl 0.9016 0.5984 0.7500
Cl 0.9209 0.0609 0.2778
Cl 0.9391 0.7222 0.0791

Its total moment is 0.000 μB/atom. Its energy relative to the elements, uncorrected is -1.73 eV/atom.

Record 6
VASP calculation (PBE) on an optimized crystal structure of RbDyHo4S8.

Cell: 8.2550 8.2550 8.2550 Å, 59.84 59.84 59.84°
Atoms (fractional coordinates):
Rb 0.0000 0.0000 0.0000
Dy 0.3693 0.3693 0.3693
Ho 0.3696 0.3696 0.8879
Ho 0.3696 0.8879 0.3696
Ho 0.7490 0.7490 0.7490
Ho 0.8879 0.3696 0.3696
S 0.1422 0.1422 0.5673
S 0.1422 0.5673 0.1422
S 0.1435 0.1435 0.1435
S 0.1452 0.6173 0.6173
S 0.5673 0.1422 0.1422
S 0.6173 0.1452 0.6173
S 0.6173 0.6173 0.1452
S 0.6170 0.6170 0.6170

Its total moment is 0.000 μB/atom. Its energy relative to the elements, uncorrected is -1.90 eV/atom.

Record 7
VASP calculation (PBE) on an optimized crystal structure of NdHo3F.

Cell: 5.0562 5.0562 5.0562 Å, 90.00 90.00 90.00°
Atoms (fractional coordinates):
Nd 0.0000 0.0000 0.0000
Ho 0.0000 0.5000 0.5000
Ho 0.5000 0.0000 0.5000
Ho 0.5000 0.5000 0.0000
F 0.5000 0.5000 0.5000

Its total moment is 0.000 μB/atom. Its energy relative to the elements, uncorrected is -0.91 eV/atom.

Record 8
VASP calculation (PBE) on an optimized crystal structure of HoMnGa.

Cell: 3.9334 7.1659 7.1659 Å, 120.31 90.00 90.00°
Atoms (fractional coordinates):
Ho 0.0000 0.0000 0.0000
Ho 0.0000 0.4191 0.8272
Ho 0.0000 0.8272 0.4191
Mn 0.5000 0.0827 0.7549
Mn 0.5000 0.6595 0.6595
Mn 0.5000 0.7549 0.0827
Ga 0.0000 0.4207 0.4207
Ga 0.5000 0.1634 0.4240
Ga 0.5000 0.4240 0.1634

Its total moment is 0.940 μB/atom. Its formation enthalpy at 0 K is -0.175 eV per atom.

Record 9
VASP calculation (PBE) on an optimized crystal structure of SrLiRe.

Cell: 5.1228 5.1228 2.6913 Å, 90.00 90.00 120.00°
Atoms (fractional coordinates):
Sr 0.0000 0.0000 0.0000
Li 0.6667 0.3333 0.1929
Re 0.3333 0.6667 0.5255

Its total moment is 0.082 μB/atom. The value obtained for the energy relative to the lowest polymorph listed for this composition is 0.009 eV/atom. Its formation enthalpy at 0 K is 0.905 eV per atom.

Record 10
VASP calculation (PBE) on an optimized crystal structure of AcLa2Pm2Ho.

Cell: 7.3224 5.8495 10.1581 Å, 90.00 90.00 90.00°
Atoms (fractional coordinates):
Ac 0.0000 0.0000 0.0000
Ac 0.5000 0.0000 0.0000
La 0.0000 0.5000 0.5000
La 0.2500 0.0000 0.3347
La 0.5000 0.5000 0.5000
La 0.7500 0.0000 0.6653
Pm 0.2500 0.0000 0.6647
Pm 0.2500 0.5000 0.1700
Pm 0.7500 0.0000 0.3353
Pm 0.7500 0.5000 0.8300
Ho 0.2500 0.5000 0.8330
Ho 0.7500 0.5000 0.1670

Its total moment is 0.000 μB/atom. Its formation enthalpy at 0 K is 0.054 eV per atom.

Record 11
VASP calculation (PBE) on an optimized crystal structure of K2NaAg4.

Cell: 5.3472 5.3472 17.5205 Å, 90.00 90.00 90.00°
Atoms (fractional coordinates):
K 0.0000 0.0000 0.1438
K 0.0000 0.0000 0.8562
K 0.5000 0.5000 0.3562
K 0.5000 0.5000 0.6438
Na 0.0000 0.0000 0.5000
Na 0.5000 0.5000 0.0000
Ag 0.0000 0.0000 0.3403
Ag 0.0000 0.0000 0.6597
Ag 0.0000 0.5000 0.0000
Ag 0.0000 0.5000 0.5000
Ag 0.5000 0.0000 0.0000
Ag 0.5000 0.0000 0.5000
Ag 0.5000 0.5000 0.1597
Ag 0.5000 0.5000 0.8403

Its total moment is 0.000 μB/atom. Its formation enthalpy at 0 K is 0.350 eV per atom.

Record 12
VASP calculation (PBE) on an optimized crystal structure of Ho3TiCo8.

Cell: 8.6143 8.6143 8.6143 Å, 33.52 33.52 33.52°
Atoms (fractional coordinates):
Ho 0.0000 0.0000 0.0000
Ho 0.1266 0.1266 0.1266
Ho 0.6218 0.6218 0.6218
Ti 0.4987 0.4987 0.4987
Co 0.0614 0.0614 0.5561
Co 0.0614 0.5561 0.0614
Co 0.0695 0.5629 0.5629
Co 0.3125 0.3125 0.3125
Co 0.5561 0.0614 0.0614
Co 0.5629 0.0695 0.5629
Co 0.5629 0.5629 0.0695
Co 0.8130 0.8130 0.8130

Its total moment is 0.552 μB/atom. Its formation enthalpy at 0 K is -0.211 eV per atom.

Q: Look up the total moment of the fourth one.
A: 0.369 μB/atom